This record from the Alexandria database describes a geometry-optimized Zr2Tl2Au structure. The functional is PBE.

Results
**Magnetization**: 0.01 μB per formula unit
**Formation enthalpy at 0 K**: 1.61 eV per formula unit
**Energy above the most stable polymorph in this dataset**: 279 meV per atom

Lattice parameters (Å, degrees): 4.092 4.092 14.815 90.00 90.00 90.00
Space group I4/mmm (No. 139)
Asymmetric unit:
Zr  0.000  0.000  0.087 (multiplicity 4)
Tl  0.000  0.500  0.250 (multiplicity 4)
Au  0.000  0.000  0.500 (multiplicity 2)


This record from the Alexandria database describes a geometry-optimized EuGdCuAg structure. The functional is PBE.

Results
**Magnetization**: 14.30 μB per formula unit
**Formation enthalpy at 0 K**: -0.71 eV per formula unit

Lattice parameters (Å, degrees): 7.317 7.317 7.317 90.00 90.00 90.00
Space group F-43m (No. 216)
Asymmetric unit:
Eu  0.000  0.000  0.000 (multiplicity 4)
Gd  0.000  0.000  0.500 (multiplicity 4)
Cu  0.250  0.250  0.250 (multiplicity 4)
Ag  0.250  0.250  0.750 (multiplicity 4)


This record from the Alexandria database describes a geometry-optimized YSb2IN structure. The functional is PBE.

Results
**Magnetization**: 0.00 μB per formula unit
**E_form (uncorrected)**: 0.218 eV/atom
**Energy above the most stable polymorph in this dataset**: 0 meV per atom

Lattice parameters (Å, degrees): 4.894 4.894 4.818 90.00 90.00 90.00
Space group P4/mmm (No. 123)
Asymmetric unit:
Y  0.000  0.000  0.000 (multiplicity 1)
Sb  0.000  0.500  0.500 (multiplicity 2)
I  0.500  0.500  0.000 (multiplicity 1)
N  0.500  0.500  0.500 (multiplicity 1)


This record from the Alexandria database describes a geometry-optimized SmY3Co structure. The functional is PBE.

Results
**Magnetization**: 0.00 μB per formula unit
**Formation enthalpy at 0 K**: -0.08 eV per formula unit
**Energy above the most stable polymorph in this dataset**: 75 meV per atom

Lattice parameters (Å, degrees): 5.314 5.314 5.314 90.00 90.00 90.00
Space group Pm-3m (No. 221)
Asymmetric unit:
Sm  0.000  0.000  0.000 (multiplicity 1)
Y  0.000  0.500  0.500 (multiplicity 3)
Co  0.500  0.500  0.500 (multiplicity 1)


This record from the Alexandria database describes a geometry-optimized Te2PRuN structure. The functional is PBE.

Results
**Magnetization**: 0.00 μB per formula unit
**E_form (uncorrected)**: 0.575 eV/atom
**Energy above the most stable polymorph in this dataset**: 0 meV per atom

Lattice parameters (Å, degrees): 5.361 5.361 3.651 90.00 90.00 90.00
Space group P4/mmm (No. 123)
Asymmetric unit:
Te  0.000  0.500  0.000 (multiplicity 2)
P  0.000  0.000  0.500 (multiplicity 1)
Ru  0.500  0.500  0.000 (multiplicity 1)
N  0.500  0.500  0.500 (multiplicity 1)


This record from the Alexandria database describes a geometry-optimized MnBeAsSe2 structure. The functional is PBE.

Results
**Magnetization**: 2.15 μB per formula unit
**E_form (uncorrected)**: 0.692 eV/atom
**Energy above the most stable polymorph in this dataset**: 0 meV per atom

Lattice parameters (Å, degrees): 4.740 4.740 4.484 90.00 90.00 90.00
Space group P4/mmm (No. 123)
Asymmetric unit:
Mn  0.000  0.000  0.000 (multiplicity 1)
Be  0.500  0.500  0.500 (multiplicity 1)
As  0.000  0.000  0.500 (multiplicity 1)
Se  0.000  0.500  0.000 (multiplicity 2)


This record from the Alexandria database describes a geometry-optimized BaCa3Al structure. The functional is PBE.

Results
**Magnetization**: 0.00 μB per formula unit
**Formation enthalpy at 0 K**: 0.19 eV per formula unit
**Energy above the most stable polymorph in this dataset**: 0 meV per atom

Lattice parameters (Å, degrees): 6.041 6.041 6.041 90.00 90.00 90.00
Space group Pm-3m (No. 221)
Asymmetric unit:
Ba  0.000  0.000  0.000 (multiplicity 1)
Ca  0.000  0.500  0.500 (multiplicity 3)
Al  0.500  0.500  0.500 (multiplicity 1)


This record from the Alexandria database describes a geometry-optimized GeAs2N structure. The functional is PBE.

Results
**Magnetization**: 0.00 μB per formula unit
**E_form (uncorrected)**: 0.641 eV/atom
**Energy above the most stable polymorph in this dataset**: 0 meV per atom

Lattice parameters (Å, degrees): 5.028 5.028 12.138 90.00 90.00 90.00
Space group I-42d (No. 122)
Asymmetric unit:
Ge  0.000  0.000  0.000 (multiplicity 4)
As  0.166  0.250  0.625 (multiplicity 8)
N  0.000  0.000  0.500 (multiplicity 4)


What did the fifth record say?
This record from the Alexandria database describes a geometry-optimized Te2PRuN structure. The functional is PBE.

Results
**Magnetization**: 0.00 μB per formula unit
**E_form (uncorrected)**: 0.575 eV/atom
**Energy above the most stable polymorph in this dataset**: 0 meV per atom

Lattice parameters (Å, degrees): 5.361 5.361 3.651 90.00 90.00 90.00
Space group P4/mmm (No. 123)
Asymmetric unit:
Te  0.000  0.500  0.000 (multiplicity 2)
P  0.000  0.000  0.500 (multiplicity 1)
Ru  0.500  0.500  0.000 (multiplicity 1)
N  0.500  0.500  0.500 (multiplicity 1)


> What is the formula in the second record?

EuGdCuAg


> Which of these has the highest magnetization?

EuGdCuAg